PBE-GGA PuSc3In4, optimized geometry; volume = 23.7 Å³/atom; ΔH_f (0 K) = -0.331 eV per atom; energy = -5.866 eV per atom; symmetry = No. 51; total magnetic moment = 6.354 μB per formula unit
1.0
-0.661 -2.003 4.935
-3.725 -5.106 -2.571
8.572 -5.673 -1.153
Sc In Pu
6 8 2
Cartesian
0.000 0.000 0.000
6.018 -5.498 2.199
1.892 -2.178 1.583
0.025 -4.745 0.332
4.161 -8.037 0.879
4.286 -2.836 -0.577
0.682 -4.387 3.454
-3.176 -4.902 0.504
3.504 -8.394 -2.243
-1.210 -2.207 1.861
1.110 -7.738 -0.073
-1.286 -7.085 2.096
3.076 -5.043 1.284
5.472 -5.697 -0.885
-1.862 -2.553 -1.286
2.424 -5.389 -1.862